<a>
Co2ReOs: optimized geometry, PBE-GGA.

POSCAR file:
```
Co2ReOs
1.0
4.5128 0.0018 -0.0138
3.7495 2.5113 -0.0138
0.7053 0.2145 4.4555
Co Os Re
2 1 1
direct
0.0019 0.0019 0.0032 Co
0.2474 0.2474 0.2488 Co
0.5031 0.5031 0.4835 Os
0.7477 0.7477 0.7645 Re
```

Summary:
crystal system = monoclinic
DOS at the Fermi energy = 5.01 states/eV/f.u.
space group = Cm (8)


<b>
Co2ReOs: optimized geometry, PBE-GGA.

POSCAR file:
```
Co2ReOs
1.0
8.5877 0.0035 0.0020
8.1680 2.6521 0.0020
8.1680 1.2945 2.3147
Co Os Re
2 1 1
direct
0.2538 0.2538 0.2538 Co
0.9962 0.9962 0.9962 Co
0.5016 0.5016 0.5016 Os
0.7484 0.7484 0.7484 Re
```

Summary:
crystal system = trigonal
DOS at the Fermi energy = 3.53 states/eV/f.u.
space group = R3m (160)


<c>
Co2ReOs: optimized geometry, PBE-GGA.

POSCAR file:
```
Co2ReOs
1.0
4.0050 0.0000 0.0000
0.0000 2.6002 -0.0047
0.0000 1.3130 4.7792
Co Re Os
2 1 1
direct
0.0000 0.1891 0.9973 Co
0.5000 0.0584 0.2573 Co
0.5000 0.7957 0.7853 Re
0.0000 0.4568 0.4600 Os
```

Summary:
crystal system = orthorhombic
DOS at the Fermi energy = 3.21 states/eV/f.u.
space group = Amm2 (38)


<d>
Co2ReOs: optimized geometry, PBE-GGA.

POSCAR file:
```
Co2ReOs
1.0
8.5811 -0.0081 -0.0048
8.1715 2.6197 -0.0048
8.1715 1.2738 2.2891
Os Re Co
1 1 2
direct
0.2500 0.2500 0.2500 Os
0.7500 0.7500 0.7500 Re
0.9998 0.9998 0.9998 Co
0.5002 0.5002 0.5002 Co
```

Summary:
crystal system = trigonal
DOS at the Fermi energy = 5.56 states/eV/f.u.
space group = R-3m (166)


Energy ordering: <c> at the bottom, the next structure 0.068 eV/atom above.


<a>
Co2ReOs: optimized geometry, PBE-GGA.

POSCAR file:
```
Co2ReOs
1.0
-0.5648 2.5517 0.2630
-0.9949 0.1485 -3.5783
-4.8646 -1.2110 1.3023
Re Os Co
1 1 2
direct
0.5000 0.5000 0.7667 Re
0.0000 0.0000 0.4837 Os
0.0000 0.0000 0.0058 Co
0.5000 0.5000 0.2438 Co
```

Summary:
crystal system = orthorhombic
DOS at the Fermi energy = 5.22 states/eV/f.u.
space group = Pmm2 (25)


<b>
Co2ReOs: optimized geometry, PBE-GGA.

POSCAR file:
```
Co2ReOs
1.0
0.2166 -1.7729 3.7632
-3.0597 -2.5106 1.2987
0.6696 -4.0976 0.3365
Co Os Re
2 1 1
direct
0.2500 0.2500 0.2500 Co
0.7500 0.7500 0.7500 Co
0.5000 0.5000 0.5000 Os
0.0000 0.0000 0.0000 Re
```

Summary:
crystal system = cubic
DOS at the Fermi energy = 10.06 states/eV/f.u.
space group = Fm-3m (225)


Energy ordering: <a> at the bottom, the next structure 0.248 eV/atom above.


<a>
Co2ReOs: optimized geometry, PBE-GGA.

POSCAR file:
```
Co2ReOs
1.0
-3.5952 2.4570 0.4716
-0.6059 -0.0540 -4.3377
-1.4686 -2.1935 0.2324
Re Os Co
1 1 2
direct
0.0000 0.5000 0.5000 Re
0.5000 0.0000 0.5000 Os
0.5000 0.5000 0.0000 Co
0.0000 0.0000 0.0000 Co
```

Summary:
crystal system = tetragonal
DOS at the Fermi energy = 6.19 states/eV/f.u.
space group = P4/mmm (123)


<b>
Co2ReOs: optimized geometry, PBE-GGA.

POSCAR file:
```
Co2ReOs
1.0
3.6986 0.0000 0.0000
0.0000 2.6159 0.0082
0.0000 2.5971 5.2128
Co Os Re
2 1 1
direct
0.0000 0.5023 0.4980 Co
0.0000 0.9977 0.0020 Co
0.5000 0.2500 0.2500 Os
0.5000 0.7500 0.7500 Re
```

Summary:
crystal system = orthorhombic
DOS at the Fermi energy = 5.43 states/eV/f.u.
space group = Pmmm (47)


Energy ordering: <b> at the bottom, the next structure 0.202 eV/atom above.


<a>
Co2ReOs: optimized geometry, PBE-GGA.

POSCAR file:
```
Co2ReOs
1.0
4.4985 -0.0011 0.0003
3.7122 2.5410 0.0003
0.7915 0.2448 4.5064
Re Co Os
1 2 1
direct
0.7500 0.7500 0.7500 Re
0.5012 0.5012 0.5016 Co
0.9988 0.9988 0.9984 Co
0.2500 0.2500 0.2500 Os
```

Summary:
crystal system = monoclinic
DOS at the Fermi energy = 5.32 states/eV/f.u.
space group = C2/m (12)


<b>
Co2ReOs: optimized geometry, PBE-GGA.

POSCAR file:
```
Co2ReOs
1.0
2.9550 0.0000 0.0000
0.0000 2.9550 0.0000
0.0000 0.0000 5.8600
Re Co Os
1 2 1
direct
0.5000 0.5000 0.7676 Re
0.5000 0.5000 0.2125 Co
0.0000 0.0000 0.0356 Co
0.0000 0.0000 0.4842 Os
```

Summary:
crystal system = tetragonal
DOS at the Fermi energy = 4.83 states/eV/f.u.
space group = P4mm (99)


Energy ordering: <a> at the bottom, the next structure 0.063 eV/atom above.


<a>
Co2ReOs: optimized geometry, PBE-GGA.

POSCAR file:
```
Co2ReOs
1.0
4.5209 0.0058 0.0031
1.4780 4.2725 -0.0031
-3.0013 -2.1366 2.6225
Os Re Co
1 1 2
direct
0.5000 0.5000 0.0000 Os
0.2500 0.7500 0.5000 Re
0.0000 0.0000 0.0000 Co
0.7500 0.2500 0.5000 Co
```

Summary:
crystal system = tetragonal
DOS at the Fermi energy = 4.38 states/eV/f.u.
space group = I-4m2 (119)


<b>
Co2ReOs: optimized geometry, PBE-GGA.

POSCAR file:
```
Co2ReOs
1.0
3.6893 0.0000 0.0000
0.0000 3.6891 0.0000
0.0000 0.0000 3.6975
Co Os Re
2 1 1
direct
0.5000 0.5000 0.0000 Co
0.0000 0.0000 0.0000 Co
0.5000 0.0000 0.5000 Os
0.0000 0.5000 0.5000 Re
```

Summary:
crystal system = tetragonal
DOS at the Fermi energy = 4.38 states/eV/f.u.
space group = P4/mmm (123)


<c>
Co2ReOs: optimized geometry, PBE-GGA.

POSCAR file:
```
Co2ReOs
1.0
-3.7806 -1.5896 -1.9030
0.2864 -4.4962 -0.3788
0.6702 2.7754 3.5034
Re Co Os
1 2 1
direct
0.2500 0.7500 0.5000 Re
0.5000 0.5000 0.0000 Co
0.0000 0.0000 0.0000 Co
0.7500 0.2500 0.5000 Os
```

Summary:
crystal system = tetragonal
DOS at the Fermi energy = 4.70 states/eV/f.u.
space group = I4/mmm (139)


Energy ordering: <a> at the bottom, the next structure 0.045 eV/atom above.


<a>
CoOsRh4: optimized geometry, PBE-GGA.

POSCAR file:
```
CoOsRh4
1.0
-0.8793 -2.0630 1.4981
2.5885 0.8211 2.6501
-5.2873 4.9012 3.6461
Rh Co Os
4 1 1
direct
0.5000 0.0000 0.8394 Rh
0.0000 0.5000 0.6664 Rh
0.5000 0.0000 0.1606 Rh
0.0000 0.5000 0.3336 Rh
0.0000 0.5000 0.0000 Co
0.5000 0.0000 0.5000 Os
```

Summary:
crystal system = orthorhombic
DOS at the Fermi energy = 9.93 states/eV/f.u.
space group = Pmmm (47)


<b>
CoOsRh4: optimized geometry, PBE-GGA.

POSCAR file:
```
CoOsRh4
1.0
-1.2631 6.4423 3.1997
-4.5897 -0.5691 -0.6660
2.3269 -1.9261 4.7967
Rh Co Os
8 2 2
direct
0.8461 0.0808 0.6338 Rh
0.6607 0.0845 0.1271 Rh
0.1539 0.9192 0.3662 Rh
0.1607 0.4155 0.8729 Rh
0.6539 0.5808 0.6338 Rh
0.3461 0.4192 0.3662 Rh
0.8393 0.5845 0.1271 Rh
0.3393 0.9155 0.8729 Rh
0.5000 0.5000 0.0000 Co
0.0000 0.0000 0.0000 Co
0.0000 0.5000 0.5000 Os
0.5000 0.0000 0.5000 Os
```

Summary:
crystal system = monoclinic
DOS at the Fermi energy = 10.22 states/eV/f.u.
space group = P2_1/c (14)


<c>
CoOsRh4: optimized geometry, PBE-GGA.

POSCAR file:
```
CoOsRh4
1.0
4.6494 -1.5910 0.9785
2.7178 2.2431 3.5619
0.9764 -2.3984 4.2895
Rh Co Os
4 1 1
direct
0.3752 0.3752 0.8745 Rh
0.8745 0.3752 0.3752 Rh
0.3752 0.8745 0.3752 Rh
0.3752 0.3752 0.3752 Rh
0.7500 0.7500 0.7500 Co
0.0000 0.0000 0.0000 Os
```

Summary:
crystal system = cubic
DOS at the Fermi energy = 8.21 states/eV/f.u.
space group = F-43m (216)


Energy ordering: <a> at the bottom, the next structure 0.188 eV/atom above.


<a>
CoOs2Rh: optimized geometry, PBE-GGA.

POSCAR file:
```
CoOs2Rh
1.0
5.3345 0.0000 0.0000
0.0000 5.3345 0.0000
2.6672 2.6672 5.4050
Co Os Rh
2 4 2
direct
0.5000 0.5000 0.0000 Co
0.2500 0.7500 0.5000 Co
0.6007 0.1250 0.2500 Os
0.8750 0.8507 0.7500 Os
0.1493 0.6250 0.2500 Os
0.3750 0.3993 0.7500 Os
0.0000 0.0000 0.0000 Rh
0.7500 0.2500 0.5000 Rh
```

Summary:
crystal system = tetragonal
DOS at the Fermi energy = 2.95 states/eV/f.u.
space group = I-42d (122)


<b>
CoOs2Rh: optimized geometry, PBE-GGA.

POSCAR file:
```
CoOs2Rh
1.0
-0.1163 -0.4103 4.6403
3.8927 -2.0055 1.5934
-0.7613 3.5845 -2.8785
Os Co Rh
2 1 1
direct
0.0000 0.0000 0.0000 Os
0.5000 0.5000 0.0000 Os
0.7500 0.2500 0.5000 Co
0.2500 0.7500 0.5000 Rh
```

Summary:
crystal system = tetragonal
DOS at the Fermi energy = 4.96 states/eV/f.u.
space group = I4/mmm (139)


<c>
CoOs2Rh: optimized geometry, PBE-GGA.

POSCAR file:
```
CoOs2Rh
1.0
4.6415 0.0022 0.0000
-1.6247 4.3478 0.0000
0.0000 0.0000 2.6636
Os Co Rh
2 1 1
direct
0.5000 0.5000 0.0000 Os
0.0000 0.0000 0.0000 Os
0.0000 0.5000 0.5000 Co
0.5000 0.0000 0.5000 Rh
```

Summary:
crystal system = orthorhombic
DOS at the Fermi energy = 4.05 states/eV/f.u.
space group = Cmmm (65)


<d>
CoOs2Rh: optimized geometry, PBE-GGA.

POSCAR file:
```
CoOs2Rh
1.0
4.6135 -0.0023 0.0074
3.8353 2.5642 0.0074
0.7892 0.2393 4.5562
Co Os Rh
1 2 1
direct
0.2500 0.2500 0.2500 Co
0.5027 0.5027 0.4910 Os
0.9973 0.9973 0.0090 Os
0.7500 0.7500 0.7500 Rh
```

Summary:
crystal system = monoclinic
DOS at the Fermi energy = 4.60 states/eV/f.u.
space group = C2/m (12)


Energy ordering: <d> at the bottom, the next structure 0.033 eV/atom above.


<a>
CoOs2Rh: optimized geometry, PBE-GGA.

POSCAR file:
```
CoOs2Rh
1.0
-2.4666 0.8313 0.5913
-0.7927 -2.5357 0.2584
1.8063 0.1777 7.2851
Rh Co Os
1 1 2
direct
0.5000 0.5000 0.2500 Rh
0.5000 0.5000 0.7500 Co
0.0000 0.0000 0.9868 Os
0.0000 0.0000 0.5132 Os
```

Summary:
crystal system = tetragonal
DOS at the Fermi energy = 3.98 states/eV/f.u.
space group = P4/mmm (123)


<b>
CoOs2Rh: optimized geometry, PBE-GGA.

POSCAR file:
```
CoOs2Rh
1.0
-0.5511 -2.0710 1.5605
-0.2812 -0.2728 -2.6219
8.6024 -2.7676 -0.6347
Os Co Rh
2 1 1
direct
0.0000 0.0000 0.9892 Os
0.0000 0.0000 0.5108 Os
0.5000 0.5000 0.7500 Co
0.5000 0.5000 0.2500 Rh
```

Summary:
crystal system = orthorhombic
DOS at the Fermi energy = 6.02 states/eV/f.u.
space group = Cmmm (65)


Energy ordering: <a> at the bottom, the next structure 0.290 eV/atom above.